Computed, not measured: crystalline SiAs4Se at its relaxed geometry at the PBE-GGA level of DFT.

## Properties
Calculated density, g/cm3: 5.46
SG: F-43m
Formation energy without anion corrections, meV per atom: 655
N(E_F), states/eV/f.u.: 3.52

a b c (Å): 5.5940 5.5940 5.5940
angles (deg): 60.00 60.00 60.00
Closest atoms and distances in Å follow each position.
Atoms (fractional coordinates):
1 As 0.3815 0.8556 0.3815  6 As 2.65-2.94
2 As 0.8556 0.3815 0.3815  6 As 2.65-2.94
3 Se 0.7500 0.7500 0.7500  12 As 3.27, 4 Si 3.43
4 As 0.3815 0.3815 0.3815  6 As 2.65-2.94
5 As 0.3815 0.3815 0.8556  6 As 2.65-2.94
6 Si 0.0000 0.0000 0.0000  12 As 3.30, 4 Se 3.43